# 1
HgRhF5, optimized geometry, DFT PBE; crystal system = monoclinic; raw formation energy = -1.447 eV/atom; space-group type = C2/c
1.0
-1.387 -0.809 -5.270
3.046 -4.312 -1.576
-4.705 -6.132 -0.168
Hg Rh F
2 2 10
direct
0.523 0.477 0.750
0.477 0.523 0.250
0.000 0.000 0.500
0.000 0.000 0.000
0.348 0.776 0.507
0.673 0.864 0.127
0.652 0.224 0.493
0.087 0.913 0.250
0.776 0.348 0.007
0.864 0.673 0.627
0.136 0.327 0.373
0.327 0.136 0.873
0.224 0.652 0.993
0.913 0.087 0.750

=====

# 2
TiCuHIr2, optimized geometry, DFT PBE; energy = -4.935 eV per atom; crystal system = tetragonal; space-group type = P4/mmm
1.0
4.513 0.000 0.000
0.000 4.513 0.000
0.000 0.000 4.413
Cu Ti H Ir
1 1 1 2
direct
0.000 0.000 0.000
0.000 0.000 0.500
0.500 0.500 0.500
0.500 0.000 0.000
0.000 0.500 0.000

=====

# 3
BeAgHg3, optimized geometry, DFT PBE; energy = -1.173 eV per atom; crystal system = cubic; space-group type = Pm-3m
1.0
-2.893 -3.822 -0.177
3.551 -2.600 -1.907
1.424 -1.281 4.398
Be Hg Ag
1 3 1
direct
0.000 0.000 0.000
0.000 0.000 0.500
0.000 0.500 0.000
0.500 0.000 0.000
0.500 0.500 0.500

=====

# 4
YErTm2Tl2, optimized geometry, DFT PBE; energy = -4.385 eV per atom; crystal system = orthorhombic; space-group type = Pmc2_1
1.0
-3.622 -3.492 0.025
4.716 -4.887 0.643
-0.610 0.703 9.817
Y Er Tl Tm
2 2 4 4
direct
0.000 0.459 0.544
0.000 0.959 0.456
0.500 0.175 0.692
0.500 0.675 0.308
0.000 0.799 0.130
0.500 0.217 0.367
0.000 0.299 0.870
0.500 0.717 0.633
0.500 0.555 0.956
0.000 0.341 0.187
0.500 0.055 0.044
0.000 0.841 0.813

=====

# 5
LiTlF4, optimized geometry, DFT PBE; crystal system = tetragonal; raw formation energy = -2.217 eV/atom; space-group type = I4_1/a
1.0
4.865 0.000 -2.001
-0.823 4.795 -2.001
-0.150 -0.178 6.551
Tl F Li
2 8 2
direct
0.000 0.000 0.000
0.750 0.250 0.500
0.695 0.589 0.836
0.141 0.247 0.836
0.609 0.003 0.664
0.753 0.305 0.164
0.055 0.661 0.664
0.997 0.945 0.336
0.339 0.391 0.336
0.411 0.859 0.164
0.250 0.750 0.500
0.500 0.500 0.000

=====

Values for volume, Å³/atom, ordered as above
15.09 17.98 22.07 28.21 12.45